Record 1
The following is a PBE calculation of Sn2Pb8Au after structural relaxation, from the Alexandria database.

Computed properties:
* volume: 29.87 A^3/atom
* relative energy among the computed polymorphs: 0 meV/atom

Cell lengths 9.450, 9.450, 7.244 Å; angles 94.13, 94.13, 30.62 degrees
Fractional coordinates of all 11 atoms:
1 Sn 0.217 0.217 0.130
2 Sn 0.783 0.783 0.870
3 Pb 0.027 0.027 0.254
4 Pb 0.162 0.162 0.690
5 Pb 0.344 0.344 0.617
6 Pb 0.410 0.410 0.070
7 Pb 0.590 0.590 0.930
8 Pb 0.656 0.656 0.383
9 Pb 0.838 0.838 0.310
10 Pb 0.973 0.973 0.746
11 Au 0.500 0.500 0.500



Record 2
The following is a PBE calculation of Ac6Os2Br3O after structural relaxation, from the Alexandria database.

Computed properties:
* volume: 31.77 A^3/atom
* formation energy (no corrections): -1.15 eV/atom

Cell lengths 7.300, 7.300, 8.629 Å; angles 98.08, 98.08, 120.21 degrees
Fractional coordinates of all 12 atoms:
1 Ac 0.064 0.389 0.191
2 Ac 0.258 0.258 0.811
3 Ac 0.389 0.064 0.191
4 Ac 0.611 0.936 0.809
5 Ac 0.742 0.742 0.189
6 Ac 0.936 0.611 0.809
7 Os 0.334 0.666 0.000
8 Os 0.666 0.334 0.000
9 Br 0.175 0.825 0.500
10 Br 0.500 0.500 0.500
11 Br 0.825 0.175 0.500
12 O 0.000 0.000 0.000



Record 3
The following is a PBE calculation of CsRbCd2As2 after structural relaxation, from the Alexandria database.

Computed properties:
* volume: 35.03 A^3/atom
* energy: -0.0941 Ha/atom

Cell lengths 4.624, 4.624, 11.354 Å; angles 90.00, 90.00, 120.00 degrees
Fractional coordinates of all 6 atoms:
1 Cs 0.000 0.000 0.000
2 Rb 0.000 0.000 0.500
3 Cd 0.333 0.667 0.740
4 Cd 0.667 0.333 0.260
5 As 0.333 0.667 0.258
6 As 0.667 0.333 0.742



Record 4
The following is a PBE calculation of ScCu2GeH after structural relaxation, from the Alexandria database.

Computed properties:
* volume: 12.74 A^3/atom
* relative energy among the computed polymorphs: 0 meV/atom

Cell lengths 3.905, 3.905, 4.178 Å; angles 90.00, 90.00, 90.00 degrees
Fractional coordinates of all 5 atoms:
1 Sc 0.000 0.000 0.000
2 Cu 0.000 0.500 0.500
3 Cu 0.500 0.000 0.500
4 Ge 0.500 0.500 0.000
5 H 0.000 0.000 0.500



Record 5
The following is a PBE calculation of Cs4Ac3ZnO8 after structural relaxation, from the Alexandria database.

Computed properties:
* volume: 22.33 A^3/atom
* formation energy (no corrections): -2.03 eV/atom

Cell lengths 7.795, 7.795, 8.034 Å; angles 115.01, 115.01, 56.52 degrees
Fractional coordinates of all 16 atoms:
1 Cs 0.000 0.000 0.000
2 Cs 0.000 0.500 0.000
3 Cs 0.500 0.000 0.000
4 Cs 0.500 0.500 0.000
5 Ac 0.000 0.000 0.500
6 Ac 0.000 0.500 0.500
7 Ac 0.500 0.000 0.500
8 Zn 0.500 0.500 0.500
9 O 0.212 0.212 0.676
10 O 0.225 0.225 0.280
11 O 0.254 0.680 0.647
12 O 0.320 0.746 0.353
13 O 0.680 0.254 0.647
14 O 0.746 0.320 0.353
15 O 0.775 0.775 0.720
16 O 0.788 0.788 0.324



Record 6
The following is a PBE calculation of Gd2CdFe after structural relaxation, from the Alexandria database.

Computed properties:
* volume: 28.79 A^3/atom
* relative energy among the computed polymorphs: 369 meV/atom

Cell lengths 10.196, 10.196, 10.196 Å; angles 20.63, 20.63, 20.63 degrees
Fractional coordinates of all 4 atoms:
1 Gd 0.111 0.111 0.111
2 Gd 0.889 0.889 0.889
3 Cd 0.000 0.000 0.000
4 Fe 0.500 0.500 0.500



Record 7
The following is a PBE calculation of SrSbBr after structural relaxation, from the Alexandria database.

Computed properties:
* volume: 40.09 A^3/atom
* formation energy (no corrections): -0.63 eV/atom
* relative energy among the computed polymorphs: 768 meV/atom

Cell lengths 5.540, 5.540, 5.540 Å; angles 60.00, 60.00, 60.00 degrees
Fractional coordinates of all 3 atoms:
1 Sr 0.000 0.000 0.000
2 Sb 0.750 0.750 0.750
3 Br 0.250 0.250 0.250



Record 8
The following is a PBE calculation of K3PrNd2O6 after structural relaxation, from the Alexandria database.

Computed properties:
* volume: 18.28 A^3/atom
* formation energy (no corrections): -2.60 eV/atom

Cell lengths 6.333, 6.333, 6.658 Å; angles 99.13, 99.13, 120.00 degrees
Fractional coordinates of all 12 atoms:
1 K 0.000 0.000 0.000
2 K 0.333 0.667 0.000
3 K 0.667 0.333 0.000
4 Pr 0.500 0.500 0.500
5 Nd 0.167 0.833 0.500
6 Nd 0.833 0.167 0.500
7 O 0.101 0.436 0.308
8 O 0.229 0.229 0.692
9 O 0.436 0.101 0.308
10 O 0.564 0.899 0.692
11 O 0.771 0.771 0.308
12 O 0.899 0.564 0.692



Record 9
The following is a PBE calculation of NiIrPt2 after structural relaxation, from the Alexandria database.

Computed properties:
* volume: 14.26 A^3/atom
* relative energy among the computed polymorphs: 37 meV/atom

Cell lengths 2.757, 2.757, 7.503 Å; angles 90.00, 90.00, 90.00 degrees
Fractional coordinates of all 4 atoms:
1 Ni 0.000 0.000 0.000
2 Ir 0.000 0.000 0.500
3 Pt 0.500 0.500 0.239
4 Pt 0.500 0.500 0.761



Record 10
The following is a PBE calculation of AcPmTeSe2 after structural relaxation, from the Alexandria database.

Computed properties:
* volume: 34.39 A^3/atom
* formation energy (no corrections): -1.49 eV/atom

Cell lengths 8.174, 8.174, 8.174 Å; angles 145.78, 145.78, 49.17 degrees
Fractional coordinates of all 5 atoms:
1 Ac 0.000 0.000 0.000
2 Pm 0.724 0.724 0.000
3 Te 0.372 0.372 0.000
4 Se 0.123 0.623 0.500
5 Se 0.623 0.123 0.500



Record 11
The following is a PBE calculation of Pm2Ga6Rh after structural relaxation, from the Alexandria database.

Computed properties:
* volume: 19.37 A^3/atom
* relative energy among the computed polymorphs: 0 meV/atom

Cell lengths 6.270, 6.270, 6.270 Å; angles 60.00, 60.00, 60.00 degrees
Fractional coordinates of all 9 atoms:
1 Pm 0.250 0.250 0.250
2 Pm 0.750 0.750 0.750
3 Ga 0.217 0.217 0.783
4 Ga 0.217 0.783 0.217
5 Ga 0.217 0.783 0.783
6 Ga 0.783 0.217 0.217
7 Ga 0.783 0.217 0.783
8 Ga 0.783 0.783 0.217
9 Rh 0.500 0.500 0.500



Record 12
The following is a PBE calculation of GeAs2RhSe after structural relaxation, from the Alexandria database.

Computed properties:
* volume: 22.45 A^3/atom
* formation energy (no corrections): 1.02 eV/atom
* relative energy among the computed polymorphs: 572 meV/atom

Cell lengths 4.811, 4.811, 4.851 Å; angles 90.00, 90.00, 90.00 degrees
Fractional coordinates of all 5 atoms:
1 Ge 0.000 0.000 0.000
2 As 0.000 0.500 0.000
3 As 0.500 0.000 0.000
4 Rh 0.500 0.500 0.500
5 Se 0.000 0.000 0.500



no.,mass density (Mg/m³),magnetic moment (μB per atom)
1,10.57,0.0000
2,8.70,0.0000
3,4.69,0.0000
4,6.40,0.0000
5,6.54,0.0665
6,6.96,3.4096
7,3.99,0.6703
8,4.87,0.0000
9,18.66,0.1469
10,6.35,0.0000
11,7.73,0.0000
12,5.98,0.0506